Entry from Alexandria via LeMat-Bulk: an optimized crystal structure of GeTeIr3 (PBE).

a b c (Å): 4.8754 4.8754 4.8754
angles (deg): 90.00 90.00 90.00
Space group Pm-3m (No. 221)
One atom of each set of equivalent atoms:
1 Ge 0.0000 0.0000 0.0000
2 Te 0.5000 0.5000 0.5000
3 Ir 0.0000 0.5000 0.5000

Output
E above lowest polymorph = 543.1 meV per atom
total energy = -5.266 eV per atom
formation energy (no corrections) = 1603 meV per atom

***

Entry from Alexandria via LeMat-Bulk: an optimized crystal structure of Ge3Te3Ir2 (PBE).

a b c (Å): 12.8187 12.8187 15.7544
angles (deg): 90.00 90.00 120.00
Space group R-3 (No. 148, hexagonal axes)
One atom of each set of equivalent atoms:
1 Ge 0.0005 0.1638 0.3397
2 Ge 0.0549 0.7851 0.9455
3 Te 0.0226 0.1852 0.8339
4 Te 0.0508 0.5969 0.0980
5 Ir 0.0000 0.0000 0.2570
6 Ir 0.0015 0.4976 0.7459

Output
E above lowest polymorph = 0.0 meV per atom
total energy = -5.494 eV per atom
formation energy (no corrections) = -369 meV per atom